The following is a PBE calculation of a relaxed structure of LaSmCuAg, from Alexandria.

```
LaSmCuAg
1.0
3.671 0.000 0.000
0.000 3.671 0.000
0.000 0.000 7.427
La Sm Cu Ag
1 1 1 1
direct
0.000 0.000 0.000
0.000 0.000 0.471
0.500 0.500 0.253
0.500 0.500 0.719
```

Calculated values
- electronic total energy (eV/atom) = -4.361
- polymorph energy (0 for the lowest one) (meV per atom) = 0
- volume (Å³/cell) = 100.08



The following is a PBE calculation of a relaxed structure of La2Cu3AgSn4, from Alexandria.

```
La2Cu3AgSn4
1.0
4.554 0.000 0.000
0.000 4.554 0.000
0.000 0.000 10.917
La Cu Ag Sn
2 3 1 4
direct
0.000 0.500 0.248
0.500 0.000 0.752
0.000 0.000 0.000
0.000 0.500 0.630
0.500 0.000 0.370
0.500 0.500 0.000
0.000 0.000 0.500
0.000 0.500 0.863
0.500 0.000 0.137
0.500 0.500 0.500
```

Calculated values
- electronic total energy (eV/atom) = -4.557
- volume (Å³/cell) = 226.39



The following is a PBE calculation of a relaxed structure of La2CuAg3Sn4, from Alexandria.

```
La2CuAg3Sn4
1.0
4.616 0.000 0.000
0.000 4.616 0.000
0.000 0.000 11.528
La Cu Ag Sn
2 1 3 4
direct
0.000 0.500 0.231
0.500 0.000 0.769
0.500 0.500 0.000
0.000 0.000 0.000
0.000 0.500 0.644
0.500 0.000 0.356
0.000 0.000 0.500
0.000 0.500 0.875
0.500 0.000 0.125
0.500 0.500 0.500
```

Calculated values
- electronic total energy (eV/atom) = -4.262
- volume (Å³/cell) = 245.60



The following is a PBE calculation of a relaxed structure of La2Cu4AgSn3, from Alexandria.

```
La2Cu4AgSn3
1.0
4.546 0.000 0.000
0.000 4.546 0.000
0.000 0.000 10.358
La Cu Ag Sn
2 4 1 3
direct
0.000 0.500 0.240
0.500 0.000 0.760
0.000 0.000 0.000
0.000 0.500 0.625
0.500 0.000 0.375
0.500 0.500 0.000
0.000 0.000 0.500
0.000 0.500 0.870
0.500 0.000 0.130
0.500 0.500 0.500
```

Calculated values
- electronic total energy (eV/atom) = -4.519
- volume (Å³/cell) = 214.11



The following is a PBE calculation of a relaxed structure of La2CuTcAg, from Alexandria.

```
La2CuTcAg
1.0
5.298 0.000 0.000
0.000 5.298 0.000
0.000 0.000 5.177
La Cu Tc Ag
2 1 1 1
direct
0.000 0.500 0.000
0.500 0.000 0.000
0.000 0.000 0.500
0.500 0.500 0.000
0.500 0.500 0.500
```

Calculated values
- electronic total energy (eV/atom) = -5.072
- volume (Å³/cell) = 145.30



The following is a PBE calculation of a relaxed structure of LaTlCuAg, from Alexandria.

```
LaTlCuAg
1.0
0.000 3.571 3.571
3.571 0.000 3.571
3.571 3.571 0.000
La Tl Cu Ag
1 1 1 1
direct
0.000 0.000 0.000
0.500 0.500 0.500
0.750 0.750 0.750
0.250 0.250 0.250
```

Calculated values
- electronic total energy (eV/atom) = -3.751
- volume (Å³/cell) = 91.10



In order of appearance, ΔE_f = -0.213, -0.456, -0.410, -0.409, 0.362, -0.191 eV/atom.